Entry 1:
! LiTlNiPd GGA-PBE optimized geometry; values from VASP
! E above lowest polymorph	31	meV/atom
! VASP energy	-15.55	eV/f.u.
&SYSTEM
  ibrav = 0, nat = 4, ntyp = 4
/
ATOMIC_SPECIES
Tl 204.38 Tl.upf
Pd 106.42 Pd.upf
Ni 58.69 Ni.upf
Li 6.94 Li.upf
CELL_PARAMETERS angstrom
0.000 3.143 3.143
3.143 0.000 3.143
3.143 3.143 0.000
ATOMIC_POSITIONS crystal
Tl 0.000 0.000 0.000
Pd 0.250 0.250 0.250
Ni 0.750 0.750 0.750
Li 0.500 0.500 0.500

Entry 2:
! LaDyTeO2 GGA-PBE optimized geometry; values from VASP
! VASP energy	-37.48	eV/f.u.
&SYSTEM
  ibrav = 0, nat = 5, ntyp = 4
/
ATOMIC_SPECIES
Dy 162.50 Dy.upf
O 16.00 O.upf
La 138.91 La.upf
Te 127.60 Te.upf
CELL_PARAMETERS angstrom
-2.004 2.004 6.386
2.004 -2.004 6.386
2.004 2.004 -6.386
ATOMIC_POSITIONS crystal
Dy 0.337 0.337 0.000
O 0.255 0.755 0.500
O 0.755 0.255 0.500
La 0.657 0.657 0.000
Te 0.995 0.995 0.000

Entry 3:
! CuPt6W GGA-PBE optimized geometry; values from VASP
! VASP energy	-54.89	eV/f.u.
! E_form	-0.235	eV/atom
&SYSTEM
  ibrav = 0, nat = 8, ntyp = 3
/
ATOMIC_SPECIES
Pt 195.08 Pt.upf
Cu 63.55 Cu.upf
W 183.84 W.upf
CELL_PARAMETERS angstrom
3.962 0.000 0.000
0.000 3.962 0.000
0.000 0.000 7.760
ATOMIC_POSITIONS crystal
Pt 0.000 0.500 0.747
Pt 0.500 0.000 0.253
Pt 0.500 0.500 0.500
Pt 0.500 0.000 0.747
Pt 0.000 0.500 0.253
Pt 0.500 0.500 0.000
Cu 0.000 0.000 0.000
W 0.000 0.000 0.500

Entry 4:
! RbTlPt2 GGA-PBE optimized geometry; values from VASP
! VASP energy	-16.13	eV/f.u.
&SYSTEM
  ibrav = 0, nat = 8, ntyp = 3
/
ATOMIC_SPECIES
Rb 85.47 Rb.upf
Pt 195.08 Pt.upf
Tl 204.38 Tl.upf
CELL_PARAMETERS angstrom
-4.091 -0.936 1.407
-0.943 -4.745 -5.898
4.671 -5.015 3.288
ATOMIC_POSITIONS crystal
Rb 0.919 0.250 0.838
Rb 0.081 0.750 0.162
Pt 0.750 0.917 0.500
Pt 0.250 0.417 0.500
Pt 0.750 0.583 0.500
Pt 0.250 0.083 0.500
Tl 0.636 0.250 0.272
Tl 0.364 0.750 0.728

Entry 5:
! Ag2F GGA-PBE optimized geometry; values from VASP
! E above lowest polymorph	363	meV/atom
! VASP energy	-8.56	eV/f.u.
&SYSTEM
  ibrav = 0, nat = 6, ntyp = 2
/
ATOMIC_SPECIES
Ag 107.87 Ag.upf
F 19.00 F.upf
CELL_PARAMETERS angstrom
-1.107 3.026 -4.381
-4.126 -3.316 -1.248
-2.260 2.061 1.994
ATOMIC_POSITIONS crystal
Ag 0.201 0.799 0.500
Ag 0.799 0.201 0.500
Ag 0.299 0.299 0.000
Ag 0.701 0.701 0.000
F 0.500 0.500 0.500
F 0.000 0.000 0.000

Entry 6:
! Rb6FeSe6 GGA-PBE optimized geometry; values from VASP
! VASP energy	-46.72	eV/f.u.
&SYSTEM
  ibrav = 0, nat = 26, ntyp = 3
/
ATOMIC_SPECIES
Rb 85.47 Rb.upf
Se 78.96 Se.upf
Fe 55.84 Fe.upf
CELL_PARAMETERS angstrom
-6.361 -4.398 -4.810
-1.396 -9.476 2.238
-10.570 0.228 6.417
ATOMIC_POSITIONS crystal
Rb 0.572 0.078 0.841
Rb 0.273 0.995 0.617
Rb 0.790 0.429 0.206
Rb 0.428 0.922 0.159
Rb 0.746 0.698 0.665
Rb 0.007 0.758 0.082
Rb 0.210 0.571 0.794
Rb 0.727 0.005 0.383
Rb 0.230 0.650 0.439
Rb 0.993 0.242 0.918
Rb 0.770 0.350 0.561
Rb 0.254 0.302 0.335
Se 0.321 0.859 0.884
Se 0.603 0.432 0.848
Se 0.123 0.375 0.635
Se 0.571 0.730 0.425
Se 0.235 0.323 0.050
Se 0.877 0.625 0.365
Se 0.679 0.141 0.116
Se 0.765 0.677 0.950
Se 0.429 0.270 0.575
Se 0.059 0.050 0.405
Se 0.941 0.950 0.595
Se 0.397 0.568 0.152
Fe 0.478 0.362 0.041
Fe 0.522 0.638 0.959

Entry 7:
! Fe2SiNi GGA-PBE optimized geometry; values from VASP
! VASP energy	-28.83	eV/f.u.
&SYSTEM
  ibrav = 0, nat = 4, ntyp = 3
/
ATOMIC_SPECIES
Fe 55.84 Fe.upf
Ni 58.69 Ni.upf
Si 28.09 Si.upf
CELL_PARAMETERS angstrom
-2.381 0.941 3.032
-2.667 2.911 -0.401
-3.869 -0.864 -0.174
ATOMIC_POSITIONS crystal
Fe 0.500 0.500 0.500
Fe 0.750 0.750 0.750
Ni 0.000 0.000 0.000
Si 0.250 0.250 0.250

Entry 8:
! USeS GGA-PBE optimized geometry; values from VASP
! E above lowest polymorph	226	meV/atom
! VASP energy	-21.62	eV/f.u.
&SYSTEM
  ibrav = 0, nat = 6, ntyp = 3
/
ATOMIC_SPECIES
Se 78.96 Se.upf
U 238.03 U.upf
S 32.06 S.upf
CELL_PARAMETERS angstrom
-4.159 1.874 -2.087
-0.119 -1.737 4.705
1.363 5.204 1.956
ATOMIC_POSITIONS crystal
Se 0.667 0.333 0.750
Se 0.333 0.667 0.250
U 0.667 0.333 0.250
U 0.333 0.667 0.750
S 0.000 0.000 0.000
S 0.000 0.000 0.500

Entry 9:
! PuBeGe GGA-PBE optimized geometry; values from VASP
! VASP energy	-21.02	eV/f.u.
&SYSTEM
  ibrav = 0, nat = 3, ntyp = 3
/
ATOMIC_SPECIES
Be 9.01 Be.upf
Ge 72.64 Ge.upf
Pu 244.00 Pu.upf
CELL_PARAMETERS angstrom
0.788 -3.823 -2.331
-1.383 -4.000 1.659
-3.447 -2.210 -1.975
ATOMIC_POSITIONS crystal
Be 0.250 0.250 0.250
Ge 0.750 0.750 0.750
Pu 0.000 0.000 0.000

Entry 10:
! NaYPt4 GGA-PBE optimized geometry; values from VASP
! VASP energy	-36.88	eV/f.u.
&SYSTEM
  ibrav = 0, nat = 6, ntyp = 3
/
ATOMIC_SPECIES
Y 88.91 Y.upf
Pt 195.08 Pt.upf
Na 22.99 Na.upf
CELL_PARAMETERS angstrom
0.000 3.815 3.815
3.815 0.000 3.815
3.815 3.815 0.000
ATOMIC_POSITIONS crystal
Y 0.250 0.250 0.250
Pt 0.625 0.625 0.124
Pt 0.625 0.625 0.625
Pt 0.124 0.625 0.625
Pt 0.625 0.124 0.625
Na 0.000 0.000 0.000

Entry 11:
! ZnSiTcNi GGA-PBE optimized geometry; values from VASP
! VASP energy	-23.60	eV/f.u.
&SYSTEM
  ibrav = 0, nat = 4, ntyp = 4
/
ATOMIC_SPECIES
Zn 65.41 Zn.upf
Tc 98.00 Tc.upf
Ni 58.69 Ni.upf
Si 28.09 Si.upf
CELL_PARAMETERS angstrom
-3.421 -0.575 2.261
-3.094 2.745 -0.193
-3.559 -1.020 -1.853
ATOMIC_POSITIONS crystal
Zn 0.500 0.500 0.500
Tc 0.250 0.250 0.250
Ni 0.750 0.750 0.750
Si 0.000 0.000 0.000

Entry 12:
! Th7Fe3 GGA-PBE optimized geometry; values from VASP
! VASP energy	-78.11	eV/f.u.
! E_form	-0.129	eV/atom
&SYSTEM
  ibrav = 0, nat = 20, ntyp = 2
/
ATOMIC_SPECIES
Th 232.04 Th.upf
Fe 55.84 Fe.upf
CELL_PARAMETERS angstrom
9.657 0.000 0.000
-4.829 8.363 0.000
0.000 0.000 6.224
ATOMIC_POSITIONS crystal
Th 0.542 0.458 0.062
Th 0.125 0.875 0.254
Th 0.458 0.542 0.562
Th 0.750 0.875 0.254
Th 0.250 0.125 0.754
Th 0.542 0.085 0.062
Th 0.875 0.750 0.754
Th 0.458 0.915 0.562
Th 0.085 0.542 0.562
Th 0.667 0.333 0.538
Th 0.333 0.667 0.038
Th 0.125 0.250 0.254
Th 0.875 0.125 0.754
Th 0.915 0.458 0.062
Fe 0.185 0.370 0.801
Fe 0.630 0.815 0.801
Fe 0.185 0.815 0.801
Fe 0.815 0.185 0.301
Fe 0.370 0.185 0.301
Fe 0.815 0.630 0.301